A relaxed VPAuO2 crystal, computed with GGA+U.

Cell lengths 3.653, 3.653, 5.416 Å; angles 90.00, 90.00, 90.00 degrees
Element x y z (fractional)
V1 0.000 0.000 0.000
P1 0.000 0.000 0.500
Au1 0.500 0.500 0.500
O1 0.000 0.500 0.000
O2 0.500 0.000 0.000

Summary:
relative energy among the computed polymorphs	0	meV/atom
volume	14.45	Å³ per atom
crystal system	tetragonal